# Pu4HgPd12 | the Alexandria database | PBE-GGA | optimized geometry
# Total magnetization = 1.21 μB per atom
# Energy relative to the elements = -467 meV/atom
# Symmetry = Im-3m
# Theoretical density = 12678 kg/m3
data_Pu4HgPd12
_symmetry_space_group_name_H-M 'P 1'
_symmetry_Int_Tables_number 1
_cell_length_a 7.4738
_cell_length_b 7.4738
_cell_length_c 7.4738
_cell_angle_alpha 109.47
_cell_angle_beta 109.47
_cell_angle_gamma 109.47
loop_
_symmetry_equiv_pos_as_xyz
'x,y,z'
loop_
_atom_site_label
_atom_site_type_symbol
_atom_site_fract_x
_atom_site_fract_y
_atom_site_fract_z
Pu1 Pu 0.5000 0.0000 0.0000
Pu2 Pu 0.0000 0.5000 0.0000
Pu3 Pu 0.0000 0.0000 0.5000
Pu4 Pu 0.5000 0.5000 0.5000
Pd1 Pd 0.0000 0.6932 0.6932
Pd2 Pd 0.6932 0.0000 0.6932
Pd3 Pd 0.0000 0.3068 0.3068
Pd4 Pd 0.7500 0.2500 0.5000
Pd5 Pd 0.2500 0.7500 0.5000
Pd6 Pd 0.6932 0.6932 0.0000
Pd7 Pd 0.3068 0.3068 0.0000
Pd8 Pd 0.3068 0.0000 0.3068
Pd9 Pd 0.2500 0.5000 0.7500
Pd10 Pd 0.5000 0.2500 0.7500
Pd11 Pd 0.5000 0.7500 0.2500
Pd12 Pd 0.7500 0.5000 0.2500
Hg1 Hg 0.0000 0.0000 0.0000